(1)
Computed, not measured: a relaxed structure of Tm12CdPd6 at the GGA-PBE level of DFT.

Unit cell a=8.5630 b=8.5630 c=8.5630 alpha=108.73 beta=108.73 gamma=108.73
Last column: nearest neighbours and their distance in Å.
Fractional coordinates of all 19 atoms:
Tm 0.0564 0.3537 0.1211  3 Pd 2.77-2.95
Tm 0.1211 0.0564 0.3537  3 Pd 2.77-2.95
Tm 0.1730 0.4672 0.6382  3 Pd 2.78-2.85
Tm 0.3537 0.1211 0.0564  3 Pd 2.77-2.95
Tm 0.3618 0.8269 0.5328  3 Pd 2.78-2.85
Tm 0.4672 0.6382 0.1731  3 Pd 2.78-2.85
Tm 0.5328 0.3618 0.8270  3 Pd 2.78-2.85
Tm 0.6382 0.1730 0.4672  3 Pd 2.78-2.85
Tm 0.6463 0.8789 0.9436  3 Pd 2.77-2.95
Tm 0.8269 0.5328 0.3618  3 Pd 2.78-2.85
Tm 0.8789 0.9437 0.6463  3 Pd 2.77-2.95
Tm 0.9436 0.6463 0.8789  3 Pd 2.77-2.95
Cd 0.5000 0.5000 0.5000  12 Tm 3.34-3.60
Pd 0.1470 0.7958 0.7169  6 Tm 2.77-2.95
Pd 0.2042 0.2831 0.8530  6 Tm 2.77-2.95
Pd 0.2831 0.8530 0.2042  6 Tm 2.77-2.95
Pd 0.7169 0.1470 0.7958  6 Tm 2.77-2.95
Pd 0.7958 0.7169 0.1470  6 Tm 2.77-2.95
Pd 0.8530 0.2042 0.2831  6 Tm 2.77-2.95

Properties
ΔH_f (0 K) (eV/atom): -0.51
Calculated density (g/cm3): 9.30
Relative energy among the computed polymorphs (kJ per mole of atoms): 9.66
DOS at the Fermi energy (states/eV/atom): 0.843

=====

(2)
Computed, not measured: a relaxed structure of Ho5Tm2Pu at the GGA-PBE level of DFT.

Unit cell a=6.2732 b=6.7275 c=11.7166 alpha=97.43 beta=95.99 gamma=90.41
Last column: nearest neighbours and their distance in Å.
Fractional coordinates of all 16 atoms:
Ho 0.0009 0.2533 0.0028  6 Ho 3.33-3.54, 2 Pu 3.38-3.53, 4 Tm 3.54-3.58
Ho 0.2257 0.0700 0.2429  2 Pu 3.25-3.48, 6 Ho 3.39-3.61, 3 Tm 3.40-3.54
Ho 0.2451 0.4504 0.4789  1 Pu 3.08, 3 Ho 3.23-3.34, 1 Tm 3.44
Ho 0.2642 0.2113 0.7519  2 Pu 3.33-3.50, 5 Ho 3.34-3.73, 4 Tm 3.37-3.59
Ho 0.2659 0.7056 0.7443  6 Ho 3.34-3.53, 2 Tm 3.54-3.64, 1 Pu 3.65
Ho 0.7341 0.2944 0.2557  6 Ho 3.34-3.53, 2 Tm 3.54-3.64, 1 Pu 3.65
Ho 0.7358 0.7887 0.2481  2 Pu 3.33-3.50, 5 Ho 3.34-3.73, 4 Tm 3.37-3.59
Ho 0.7549 0.5496 0.5211  1 Pu 3.08, 3 Ho 3.23-3.34, 1 Tm 3.44
Ho 0.7743 0.9300 0.7571  2 Pu 3.25-3.48, 6 Ho 3.39-3.61, 3 Tm 3.40-3.54
Ho 0.9991 0.7467 0.9972  6 Ho 3.33-3.54, 2 Pu 3.38-3.53, 4 Tm 3.54-3.58
Tm 0.0000 0.0000 0.5000  2 Tm 3.14, 4 Ho 3.37-3.44
Tm 0.5000 0.0000 0.0000  2 Tm 3.36, 10 Ho 3.46-3.59
Tm 0.5000 0.0000 0.5000  2 Tm 3.14, 4 Ho 3.40-3.46
Tm 0.5000 0.5000 0.0000  2 Pu 3.34, 2 Tm 3.36, 8 Ho 3.47-3.64
Pu 0.2470 0.5862 0.2378  4 Ho 3.08-3.38, 1 Tm 3.34
Pu 0.7530 0.4138 0.7622  4 Ho 3.08-3.38, 1 Tm 3.34

Properties
ΔH_f (0 K) (eV/atom): 0.17
Calculated density (g/cm3): 9.58
DOS at the Fermi energy (states/eV/atom): 2.095

=====

(3)
Computed, not measured: a relaxed structure of BeBi2MoC at the GGA-PBE level of DFT.

Unit cell a=5.4877 b=5.4877 c=3.9069 alpha=90.00 beta=90.00 gamma=90.00
Last column: nearest neighbours and their distance in Å.
Fractional coordinates of all 5 atoms:
Be 0.0000 0.0000 0.0000  8 Bi 3.37
Bi 0.0000 0.5000 0.5000  2 Mo 2.74
Bi 0.5000 0.0000 0.5000  2 Mo 2.74
Mo 0.5000 0.5000 0.5000  2 C 1.95
C 0.5000 0.5000 0.0000  2 Mo 1.95

Properties
ΔH_f (0 K) (eV/atom): 1.28
Calculated density (g/cm3): 7.55
DOS at the Fermi energy (states/eV/atom): 0.536

=====

(4)
Computed, not measured: a relaxed structure of Y3Tl4SbS8 at the GGA-PBE level of DFT.

Unit cell a=8.8234 b=8.8234 c=8.8234 alpha=54.59 beta=54.59 gamma=54.59
Last column: nearest neighbours and their distance in Å.
Fractional coordinates of all 16 atoms:
Y 0.0000 0.5000 0.5000  6 S 2.77
Y 0.5000 0.0000 0.5000  6 S 2.77
Y 0.5000 0.5000 0.0000  6 S 2.77
Tl 0.0000 0.0000 0.5000  6 S 3.25
Tl 0.0000 0.5000 0.0000  6 S 3.25
Tl 0.5000 0.0000 0.0000  6 S 3.25
Tl 0.5000 0.5000 0.5000  6 S 3.24
Sb 0.0000 0.0000 0.0000  6 S 2.77
S 0.2333 0.2333 0.7321  2 Y 2.77, 1 Sb 2.77
S 0.2333 0.7321 0.2333  2 Y 2.77, 1 Sb 2.77
S 0.2672 0.2672 0.2672  3 Y 2.77
S 0.2679 0.7667 0.7667  2 Y 2.77, 1 Sb 2.77
S 0.7321 0.2333 0.2333  2 Y 2.77, 1 Sb 2.77
S 0.7328 0.7328 0.7328  3 Y 2.77
S 0.7667 0.2679 0.7667  2 Y 2.77, 1 Sb 2.77
S 0.7667 0.7667 0.2679  2 Y 2.77, 1 Sb 2.77

Properties
Formation energy without anion corrections (meV/atom): -1201
Calculated density (g/cm3): 5.72

=====

(5)
Computed, not measured: a relaxed structure of CsMn2CrSe4 at the GGA-PBE level of DFT.

Unit cell a=5.7278 b=8.9801 c=9.6241 alpha=90.00 beta=90.00 gamma=90.00
Last column: nearest neighbours and their distance in Å.
Fractional coordinates of all 16 atoms:
Cs 0.0000 0.0000 0.0000  8 Se 3.74-3.87
Cs 0.5000 0.5000 0.5000  8 Se 3.74-3.87
Mn 0.0000 0.5000 0.0993  1 Mn 1.91
Mn 0.0000 0.5000 0.9007  1 Mn 1.91
Mn 0.5000 0.0000 0.4007  1 Mn 1.91
Mn 0.5000 0.0000 0.5993  1 Mn 1.91
Cr 0.0000 0.0000 0.5000  4 Se 2.37
Cr 0.5000 0.5000 0.0000  4 Se 2.37
Se 0.2019 0.1654 0.3512  1 Mn 2.31, 1 Cr 2.37
Se 0.2019 0.8346 0.6488  1 Mn 2.31, 1 Cr 2.37
Se 0.2981 0.3346 0.8512  1 Mn 2.31, 1 Cr 2.37
Se 0.2981 0.6654 0.1488  1 Mn 2.31, 1 Cr 2.37
Se 0.7019 0.3346 0.1488  1 Mn 2.31, 1 Cr 2.37
Se 0.7019 0.6654 0.8512  1 Mn 2.31, 1 Cr 2.37
Se 0.7981 0.1654 0.6488  1 Mn 2.31, 1 Cr 2.37
Se 0.7981 0.8346 0.3512  1 Mn 2.31, 1 Cr 2.37

Properties
Formation energy without anion corrections (meV/atom): -210
Calculated density (g/cm3): 4.10
DOS at the Fermi energy (states/eV/atom): 0.524

=====

(6)
Computed, not measured: a relaxed structure of La2AlSi at the GGA-PBE level of DFT.

Unit cell a=4.1689 b=4.1689 c=23.6843 alpha=90.00 beta=90.00 gamma=120.00
Last column: nearest neighbours and their distance in Å.
Fractional coordinates of all 12 atoms:
La 0.0000 0.0000 0.0000  3 Al 3.22, 3 Si 3.24
La 0.0000 0.0000 0.1819  3 Si 3.22, 3 Al 3.24
La 0.3333 0.6667 0.6667  3 Al 3.22, 3 Si 3.24
La 0.3333 0.6667 0.8486  3 Si 3.22, 3 Al 3.24
La 0.6667 0.3333 0.3333  3 Al 3.22, 3 Si 3.24
La 0.6667 0.3333 0.5152  3 Si 3.22, 3 Al 3.24
Al 0.0000 0.0000 0.4234  3 Si 2.41
Al 0.3333 0.6667 0.0900  3 Si 2.41
Al 0.6667 0.3333 0.7567  3 Si 2.41
Si 0.0000 0.0000 0.7583  3 Al 2.41
Si 0.3333 0.6667 0.4250  3 Al 2.41
Si 0.6667 0.3333 0.0917  3 Al 2.41

Properties
Formation energy without anion corrections (meV/atom): -425
Calculated density (g/cm3): 4.65
DOS at the Fermi energy (states/eV/atom): 0.906

=====

(7)
Computed, not measured: a relaxed structure of BaAlTlHg at the GGA-PBE level of DFT.

Unit cell a=7.7979 b=7.7979 c=7.7979 alpha=90.00 beta=90.00 gamma=90.00
Last column: nearest neighbours and their distance in Å.
Fractional coordinates of all 16 atoms:
Ba 0.0000 0.0000 0.0000  4 Tl 3.38, 4 Hg 3.38
Ba 0.0000 0.5000 0.5000  4 Tl 3.38, 4 Hg 3.38
Ba 0.5000 0.0000 0.5000  4 Tl 3.38, 4 Hg 3.38
Ba 0.5000 0.5000 0.0000  4 Tl 3.38, 4 Hg 3.38
Al 0.0000 0.0000 0.5000  4 Hg 3.38, 4 Tl 3.38
Al 0.0000 0.5000 0.0000  4 Hg 3.38, 4 Tl 3.38
Al 0.5000 0.0000 0.0000  4 Hg 3.38, 4 Tl 3.38
Al 0.5000 0.5000 0.5000  4 Hg 3.38, 4 Tl 3.38
Tl 0.2500 0.2500 0.7500  4 Ba 3.38, 4 Al 3.38
Tl 0.2500 0.7500 0.2500  4 Ba 3.38, 4 Al 3.38
Tl 0.7500 0.2500 0.2500  4 Ba 3.38, 4 Al 3.38
Tl 0.7500 0.7500 0.7500  4 Ba 3.38, 4 Al 3.38
Hg 0.2500 0.2500 0.2500  4 Ba 3.38, 4 Al 3.38
Hg 0.2500 0.7500 0.7500  4 Ba 3.38, 4 Al 3.38
Hg 0.7500 0.2500 0.7500  4 Ba 3.38, 4 Al 3.38
Hg 0.7500 0.7500 0.2500  4 Ba 3.38, 4 Al 3.38

Properties
ΔH_f (0 K) (eV/atom): -0.17
Calculated density (g/cm3): 7.97
DOS at the Fermi energy (states/eV/atom): 0.333

=====

(8)
Computed, not measured: a relaxed structure of K3Sn2S3BrO3 at the GGA-PBE level of DFT.

Unit cell a=9.4377 b=7.5759 c=9.6695 alpha=90.00 beta=114.13 gamma=90.00
Last column: nearest neighbours and their distance in Å.
Fractional coordinates of all 24 atoms:
K 0.0063 0.0000 0.2680  2 O 2.68-2.96
K 0.2444 0.5503 0.2692  2 O 2.70-2.72
K 0.4134 0.7252 0.6965  3 O 2.65-2.85
K 0.5866 0.2252 0.3035  3 O 2.65-2.85
K 0.7556 0.0503 0.7308  2 O 2.70-2.72
K 0.9937 0.5000 0.7320  2 O 2.68-2.96
Sn 0.2792 0.9023 0.9969  1 O 2.15
Sn 0.2825 0.2278 0.6486  3 S 2.57-2.71
Sn 0.7175 0.7278 0.3514  3 S 2.57-2.71
Sn 0.7208 0.4023 0.0031  1 O 2.15
S 0.0722 0.0052 0.6377  1 O 1.70
S 0.3765 0.0484 0.4743  1 O 1.62
S 0.4752 0.1018 0.9242  1 O 1.58
S 0.5248 0.6018 0.0758  1 O 1.58
S 0.6235 0.5484 0.5257  1 O 1.62
S 0.9278 0.5052 0.3623  1 O 1.70
Br 0.0946 0.1946 0.0067  1 Sn 2.84
Br 0.9054 0.6946 0.9933  1 Sn 2.84
O 0.1593 0.8388 0.7606  1 S 1.70
O 0.2890 0.8603 0.4193  1 S 1.62
O 0.4083 0.4696 0.1020  1 S 1.58
O 0.5917 0.9696 0.8980  1 S 1.58
O 0.7110 0.3603 0.5807  1 S 1.62
O 0.8407 0.3388 0.2394  1 S 1.70

Properties
Formation energy without anion corrections (meV/atom): -934
Calculated density (g/cm3): 3.05

=====

(9)
Computed, not measured: a relaxed structure of LiU2Se4 at the GGA-PBE level of DFT.

Unit cell a=15.0782 b=4.0559 c=7.0977 alpha=90.00 beta=117.77 gamma=90.00
Last column: nearest neighbours and their distance in Å.
Fractional coordinates of all 14 atoms:
Li 0.0000 0.0000 0.0000  6 Se 2.80-2.88
Li 0.5000 0.5000 0.0000  6 Se 2.80-2.88
U 0.2387 0.5000 0.7362  6 Se 2.85-2.89
U 0.2613 0.0000 0.2638  6 Se 2.85-2.89
U 0.7387 0.0000 0.7362  6 Se 2.85-2.89
U 0.7613 0.5000 0.2638  6 Se 2.85-2.89
Se 0.1251 0.0000 0.4408  1 Li 2.80, 3 U 2.85-2.86
Se 0.1311 0.5000 0.9810  3 U 2.88-2.89, 2 Li 2.88
Se 0.3689 0.0000 0.0190  3 U 2.88-2.89, 2 Li 2.88
Se 0.3749 0.5000 0.5592  1 Li 2.80, 3 U 2.85-2.86
Se 0.6251 0.5000 0.4408  1 Li 2.80, 3 U 2.85-2.86
Se 0.6311 0.0000 0.9810  3 U 2.88-2.89, 2 Li 2.88
Se 0.8689 0.5000 0.0190  3 U 2.88-2.89, 2 Li 2.88
Se 0.8749 0.0000 0.5592  1 Li 2.80, 3 U 2.85-2.86

Properties
Formation energy without anion corrections (meV/atom): -1163
Calculated density (g/cm3): 6.91
Relative energy among the computed polymorphs (kJ per mole of atoms): 1.70
DOS at the Fermi energy (states/eV/atom): 1.188

=====

(10)
Computed, not measured: a relaxed structure of ZnPAu2 at the GGA-PBE level of DFT.

Unit cell a=6.5113 b=6.5113 c=6.5113 alpha=90.00 beta=90.00 gamma=90.00
Last column: nearest neighbours and their distance in Å.
Fractional coordinates of all 16 atoms:
Zn 0.0000 0.0000 0.0000  4 Au 2.82, 4 P 2.82
Zn 0.0000 0.5000 0.5000  4 Au 2.82, 4 P 2.82
Zn 0.5000 0.0000 0.5000  4 Au 2.82, 4 P 2.82
Zn 0.5000 0.5000 0.0000  4 Au 2.82, 4 P 2.82
P 0.2500 0.2500 0.2500  4 Zn 2.82, 4 Au 2.82
P 0.2500 0.7500 0.7500  4 Zn 2.82, 4 Au 2.82
P 0.7500 0.2500 0.7500  4 Zn 2.82, 4 Au 2.82
P 0.7500 0.7500 0.2500  4 Zn 2.82, 4 Au 2.82
Au 0.0000 0.0000 0.5000  4 P 2.82, 4 Au 2.82
Au 0.0000 0.5000 0.0000  4 P 2.82, 4 Au 2.82
Au 0.2500 0.2500 0.7500  4 Au 2.82, 4 Zn 2.82
Au 0.2500 0.7500 0.2500  4 Au 2.82, 4 Zn 2.82
Au 0.5000 0.0000 0.0000  4 P 2.82, 4 Au 2.82
Au 0.5000 0.5000 0.5000  4 P 2.82, 4 Au 2.82
Au 0.7500 0.2500 0.2500  4 Au 2.82, 4 Zn 2.82
Au 0.7500 0.7500 0.7500  4 Au 2.82, 4 Zn 2.82

Properties
ΔH_f (0 K) (eV/atom): 0.28
Calculated density (g/cm3): 11.80
Relative energy among the computed polymorphs (kJ per mole of atoms): 20.30
DOS at the Fermi energy (states/eV/atom): 0.737

=====

(11)
Computed, not measured: a relaxed structure of HgAsSe2 at the GGA-PBE level of DFT.

Unit cell a=3.6094 b=5.1034 c=10.5575 alpha=90.00 beta=90.00 gamma=90.00
Last column: nearest neighbours and their distance in Å.
Fractional coordinates of all 8 atoms:
Hg 0.0000 0.0000 0.0000  4 Hg 3.13
Hg 0.5000 0.5000 0.0000  4 Hg 3.13
As 0.0000 0.0000 0.5000  4 Se 2.71
As 0.5000 0.5000 0.5000  4 Se 2.71
Se 0.0000 0.5000 0.3079  2 As 2.71
Se 0.0000 0.5000 0.6921  2 As 2.71
Se 0.5000 0.0000 0.3079  2 As 2.71
Se 0.5000 0.0000 0.6921  2 As 2.71

Properties
Formation energy without anion corrections (meV/atom): 272
Calculated density (g/cm3): 7.40
Relative energy among the computed polymorphs (kJ per mole of atoms): 32.67
DOS at the Fermi energy (states/eV/atom): 0.383